{
  "formula": "Mg4MnO5",
  "functional": "PBE+U",
  "state": "relaxed",
  "e_tot_ev_per_atom": -6.343,
  "magnetic_moment_mub_per_atom": 0.50,
  "dos_ef_per_ev_cell": 0.0,
  "lattice": [[5.0572, -1.5233, 0.0000], [5.0572, 1.5233, 0.0000], [-3.6904, 0.0000, 6.4986]],
  "species": ["Mg", "Mg", "Mg", "Mg", "Mn", "O", "O", "O", "O", "O"],
  "fractional_positions": [[0.0990, 0.0990, 0.4010], [0.2997, 0.2997, 0.2023], [0.7003, 0.7003, 0.7977], [0.9010, 0.9010, 0.5990], [0.5000, 0.5000, 0.0000], [0.1049, 0.1049, 0.8937], [0.2968, 0.2968, 0.6934], [0.5000, 0.5000, 0.5000], [0.7032, 0.7032, 0.3066], [0.8951, 0.8951, 0.1063]]
}